Record 1
# RbPmAgF5

A relaxed structure of RbPmAgF5 (PBE-GGA, Alexandria).

Unit cell a=6.758 b=6.758 c=8.565 alpha=99.16 beta=99.16 gamma=113.27
Sites, in units of the cell vectors:
Pm1 0.000 0.000 0.000
Pm2 0.000 0.000 0.500
Ag1 0.327 0.673 0.750
Ag2 0.673 0.327 0.250
F1 0.742 0.644 0.447
F2 0.923 0.284 0.100
F3 0.284 0.923 0.600
F4 0.258 0.356 0.553
F5 0.074 0.926 0.250
F6 0.077 0.716 0.900
F7 0.356 0.258 0.053
F8 0.716 0.077 0.400
F9 0.644 0.742 0.947
F10 0.926 0.074 0.750
Rb1 0.659 0.341 0.750
Rb2 0.341 0.659 0.250

Computed properties:
Electronic total energy = -83.0 eV per cell
DOS(E_F) = 0.0 states/eV/cell
Space group = No. 15
Formation energy without anion corrections = -2.946 eV/atom

=====

Record 2
# RbPmAg2F8

A relaxed structure of RbPmAg2F8 (PBE-GGA, Alexandria).

Unit cell a=6.341 b=6.341 c=6.553 alpha=118.94 beta=118.94 gamma=90.00
Sites, in units of the cell vectors:
Ag1 0.500 0.500 0.000
Ag2 0.250 0.750 0.500
Rb1 0.000 0.000 0.000
F1 0.969 0.966 0.537
F2 0.543 0.841 0.041
F3 0.034 0.432 0.463
F4 0.799 0.457 0.959
F5 0.499 0.201 0.041
F6 0.429 0.031 0.463
F7 0.568 0.571 0.537
F8 0.159 0.501 0.959
Pm1 0.750 0.250 0.500

Computed properties:
Electronic total energy = -54.4 eV per cell
DOS(E_F) = 4.8 states/eV/cell
Space group = No. 82
Formation energy without anion corrections = -2.333 eV/atom

=====

Record 3
# PmAgSbF

A relaxed structure of PmAgSbF (PBE-GGA, Alexandria).

Unit cell a=4.202 b=4.202 c=9.416 alpha=90.00 beta=90.00 gamma=90.00
Sites, in units of the cell vectors:
Ag1 0.500 0.500 0.500
Ag2 0.000 0.000 0.500
F1 0.000 0.000 0.000
F2 0.500 0.500 0.000
Sb1 0.500 0.000 0.710
Sb2 0.000 0.500 0.290
Pm1 0.500 0.000 0.161
Pm2 0.000 0.500 0.839

Computed properties:
Electronic total energy = -40.7 eV per cell
DOS(E_F) = 0.4 states/eV/cell
Space group = No. 129
Formation energy without anion corrections = -1.685 eV/atom

=====

Record 4
# PmTlAgF5

A relaxed structure of PmTlAgF5 (PBE-GGA, Alexandria).

Unit cell a=6.394 b=6.394 c=8.459 alpha=96.14 beta=96.14 gamma=111.29
Sites, in units of the cell vectors:
F1 0.950 0.307 0.119
F2 0.913 0.087 0.750
F3 0.224 0.374 0.519
F4 0.776 0.626 0.481
F5 0.087 0.913 0.250
F6 0.374 0.224 0.019
F7 0.626 0.776 0.981
F8 0.050 0.693 0.881
F9 0.307 0.950 0.619
F10 0.693 0.050 0.381
Pm1 0.000 0.000 0.000
Pm2 0.000 0.000 0.500
Ag1 0.649 0.351 0.250
Ag2 0.351 0.649 0.750
Tl1 0.360 0.640 0.250
Tl2 0.640 0.360 0.750

Computed properties:
Electronic total energy = -81.6 eV per cell
DOS(E_F) = 0.0 states/eV/cell
Space group = No. 15
Formation energy without anion corrections = -2.686 eV/atom

=====

Record 5
# PmTlAg2F8

A relaxed structure of PmTlAg2F8 (PBE-GGA, Alexandria).

Unit cell a=3.928 b=5.940 c=7.855 alpha=90.00 beta=90.00 gamma=90.06
Sites, in units of the cell vectors:
F1 0.001 0.782 0.245
F2 0.501 0.783 0.000
F3 0.001 0.782 0.755
F4 0.500 0.222 0.500
F5 0.500 0.778 0.500
F6 0.999 0.218 0.755
F7 0.999 0.218 0.245
F8 0.499 0.217 0.000
Tl1 0.000 0.000 0.000
Pm1 0.000 0.000 0.500
Ag1 0.500 0.500 0.241
Ag2 0.500 0.500 0.759

Computed properties:
Electronic total energy = -55.3 eV per cell
DOS(E_F) = 0.2 states/eV/cell
Space group = No. 10
Formation energy without anion corrections = -2.292 eV/atom

=====

Record 6
# PmTl2AgF6

A relaxed structure of PmTl2AgF6 (PBE-GGA, Alexandria).

Unit cell a=6.524 b=6.723 c=9.093 alpha=90.00 beta=88.98 gamma=90.00
Sites, in units of the cell vectors:
F1 0.215 0.184 0.456
F2 0.906 0.531 0.242
F3 0.180 0.220 0.050
F4 0.785 0.816 0.544
F5 0.094 0.469 0.758
F6 0.680 0.280 0.550
F7 0.594 0.031 0.258
F8 0.406 0.969 0.742
F9 0.820 0.780 0.950
F10 0.285 0.684 0.044
F11 0.715 0.316 0.956
F12 0.320 0.720 0.450
Ag1 0.000 0.500 0.500
Ag2 0.500 0.000 0.000
Tl1 0.487 0.458 0.250
Tl2 0.987 0.042 0.750
Tl3 0.513 0.542 0.750
Tl4 0.013 0.958 0.250
Pm1 0.000 0.500 0.000
Pm2 0.500 0.000 0.500

Computed properties:
Electronic total energy = -97.4 eV per cell
DOS(E_F) = 0.0 states/eV/cell
Space group = No. 14
Formation energy without anion corrections = -2.512 eV/atom